A plane-wave DFT calculation with PBE-GGA was carried out for a relaxed structure of Dy3Y2Er2Ni2Te2.

Summary:
Symmetry: No. 44
Size of the total moment: 0.01 μB/f.u.
VASP energy: -5.53 eV/atom

Cell: 9.367 9.367 9.367 Å, 156.26 66.92 118.47°
Atoms (fractional coordinates):
Dy (0.264, 0.895, 0.368)
Dy (0.977, 0.477, 0.500)
Dy (0.527, 0.895, 0.632)
Ni (0.144, 0.405, 0.739)
Ni (0.667, 0.405, 0.261)
Te (0.241, 0.241, 0.000)
Te (0.642, 0.142, 0.500)
Y (0.599, 0.745, 0.854)
Y (0.892, 0.745, 0.146)
Er (0.912, 0.097, 0.816)
Er (0.281, 0.097, 0.184)